(1)
Density functional theory data (PBE) for a relaxed Ac14LaPm crystal.

Cell and atoms, written as POSCAR:
```
Ac14LaPm
1.0
7.842 1.053 0.000
-1.052 7.842 0.000
0.000 0.000 11.273
Ac Pm La
14 1 1
direct
0.373 0.123 0.500
0.626 0.374 0.753
0.625 0.875 0.245
0.873 0.623 0.000
0.125 0.375 0.755
0.375 0.625 0.500
0.124 0.876 0.757
0.125 0.375 0.245
0.377 0.127 0.000
0.877 0.627 0.500
0.875 0.125 0.500
0.626 0.374 0.247
0.625 0.875 0.755
0.124 0.876 0.243
0.875 0.125 0.000
0.375 0.625 0.000
```

space-group type	Amm2 (38)
energy of formation	0.33	eV per formula unit
mass density	8.15	g cm⁻³
final energy	-4.1788	eV/atom

---

(2)
Density functional theory data (PBE) for a relaxed Pm4Tl3Se8 crystal.

Cell and atoms, written as POSCAR:
```
Pm4Tl3Se8
1.0
-0.848 6.391 -5.628
-1.176 -8.139 -2.611
-6.032 -1.146 6.062
Se Tl Pm
8 3 4
direct
0.500 0.760 0.240
0.000 0.756 0.244
0.019 0.765 0.765
0.524 0.774 0.774
0.500 0.240 0.760
0.476 0.226 0.226
0.000 0.244 0.756
0.981 0.235 0.235
0.500 0.000 0.500
0.500 0.500 0.500
0.500 0.500 0.000
0.000 0.000 0.000
0.000 0.500 0.000
0.000 0.000 0.500
0.500 0.000 0.000
```

space-group type	C2/m (12)
mass density	6.60	g cm⁻³
final energy	-4.8998	eV/atom

---

(3)
Density functional theory data (PBE) for a relaxed V6GeW crystal.

Cell and atoms, written as POSCAR:
```
V6GeW
1.0
4.281 0.000 0.000
0.000 4.822 -2.035
0.000 0.310 5.225
V W Ge
6 1 1
direct
0.500 0.872 0.622
0.000 0.641 0.891
0.500 0.874 0.126
0.000 0.109 0.359
0.000 0.619 0.381
0.500 0.378 0.128
0.000 0.131 0.869
0.500 0.375 0.625
```

space-group type	Amm2 (38)
energy of formation	-1.12	eV per formula unit
energy above the most stable polymorph in this dataset	23.6	meV per atom
mass density	8.44	g cm⁻³
final energy	-9.1747	eV/atom

---

(4)
Density functional theory data (PBE) for a relaxed Sr2MgUO6 crystal.

Cell and atoms, written as POSCAR:
```
Sr2MgUO6
1.0
5.838 0.000 -0.027
0.000 5.881 0.000
0.012 0.000 8.257
O U Sr Mg
12 2 4 2
direct
0.716 0.290 0.538
0.216 0.210 0.038
0.710 0.283 0.958
0.924 0.520 0.253
0.576 0.020 0.247
0.076 0.480 0.747
0.210 0.217 0.458
0.290 0.717 0.042
0.790 0.783 0.542
0.784 0.790 0.962
0.284 0.710 0.462
0.424 0.980 0.753
0.000 0.500 0.500
0.500 0.000 0.000
0.492 0.466 0.251
0.992 0.034 0.751
0.508 0.534 0.749
0.008 0.966 0.249
0.000 0.500 0.000
0.500 0.000 0.500
```

space-group type	P2_1/c (14)
mass density	6.25	g cm⁻³
final energy	-7.6643	eV/atom

---

(5)
Density functional theory data (PBE) for a relaxed HoCoSe crystal.

Cell and atoms, written as POSCAR:
```
HoCoSe
1.0
-1.994 -0.584 -3.111
3.575 -1.073 0.159
-2.926 -9.212 3.606
Ho Co Se
2 2 2
direct
0.611 0.223 0.668
0.611 0.223 0.332
0.277 0.554 0.500
0.611 0.223 0.000
0.278 0.556 0.147
0.278 0.556 0.853
```

space-group type	Amm2 (38)
mass density	8.06	g cm⁻³
final energy	-5.4392	eV/atom

---

(6)
Density functional theory data (PBE) for a relaxed YFe2Ir crystal.

Cell and atoms, written as POSCAR:
```
YFe2Ir
1.0
8.673 -0.057 -0.033
8.175 2.897 -0.033
8.175 1.378 2.549
Y Fe Ir
1 2 1
direct
0.749 0.749 0.749
0.253 0.253 0.253
0.988 0.988 0.988
0.509 0.509 0.509
```

space-group type	R3m (160)
energy of formation	1.43	eV per formula unit
mass density	9.87	g cm⁻³
final energy	-7.7062	eV/atom

---

(7)
Density functional theory data (PBE) for a relaxed Tl15Hg2Bi2 crystal.

Cell and atoms, written as POSCAR:
```
Tl15Hg2Bi2
1.0
-3.027 -0.368 8.766
5.764 4.026 6.060
-3.099 8.153 3.173
Hg Tl Bi
2 15 2
direct
0.095 0.095 0.095
0.905 0.905 0.905
0.000 0.500 0.000
0.000 0.000 0.500
0.572 0.193 0.572
0.500 0.000 0.000
0.691 0.000 0.309
0.428 0.428 0.807
0.572 0.572 0.193
0.309 0.691 0.000
0.691 0.309 0.000
0.309 0.000 0.691
0.193 0.572 0.572
0.807 0.428 0.428
0.000 0.309 0.691
0.000 0.691 0.309
0.428 0.807 0.428
0.328 0.328 0.328
0.672 0.672 0.672
```

space-group type	R-3m (166)
energy of formation	1.55	eV per formula unit
mass density	9.99	g cm⁻³
final energy	-2.2270	eV/atom

---

(8)
Density functional theory data (PBE) for a relaxed CaLa2Co crystal.

Cell and atoms, written as POSCAR:
```
CaLa2Co
1.0
0.000 3.818 3.818
3.818 0.000 3.818
3.818 3.818 0.000
La Ca Co
2 1 1
direct
0.250 0.250 0.250
0.750 0.750 0.750
0.000 0.000 0.000
0.500 0.500 0.500
```

space-group type	Fm-3m (225)
energy of formation	1.42	eV per formula unit
energy above the most stable polymorph in this dataset	425.6	meV per atom
mass density	5.62	g cm⁻³
final energy	-4.3849	eV/atom

---

(9)
Density functional theory data (PBE) for a relaxed K5InBr8 crystal.

Cell and atoms, written as POSCAR:
```
K5InBr8
1.0
9.008 -0.348 -2.727
-5.047 7.469 -2.727
0.193 0.348 9.410
Br K In
8 5 1
direct
0.106 0.832 0.674
0.649 0.328 0.183
0.168 0.841 0.274
0.145 0.466 0.817
0.159 0.432 0.326
0.534 0.351 0.679
0.672 0.855 0.321
0.568 0.894 0.726
0.500 0.500 0.000
0.417 0.905 0.060
0.845 0.357 0.940
0.095 0.155 0.512
0.643 0.583 0.488
0.250 0.750 0.500
```

space-group type	I-4 (82)
energy above the most stable polymorph in this dataset	0.0	meV per atom
mass density	2.49	g cm⁻³
final energy	-2.9683	eV/atom

---

(10)
Density functional theory data (PBE) for a relaxed ZrSiAs2 crystal.

Cell and atoms, written as POSCAR:
```
ZrSiAs2
1.0
9.913 0.009 0.006
9.438 3.030 0.006
9.438 1.482 2.642
Si As Zr
1 2 1
direct
0.250 0.250 0.250
0.006 0.006 0.006
0.494 0.494 0.494
0.750 0.750 0.750
```

space-group type	R-3m (166)
energy above the most stable polymorph in this dataset	744.7	meV per atom
mass density	5.66	g cm⁻³
final energy	-5.7061	eV/atom

---

(11)
Density functional theory data (PBE) for a relaxed Ho2Zn2CoNi5 crystal.

Cell and atoms, written as POSCAR:
```
Ho2Zn2CoNi5
1.0
-3.025 -1.790 -0.354
2.589 -2.729 -8.326
3.946 -7.388 3.649
Zn Ni Ho Co
4 10 4 2
direct
0.000 0.621 0.879
0.000 0.879 0.379
0.000 0.379 0.121
0.000 0.121 0.621
0.500 0.055 0.806
0.500 0.555 0.694
0.500 0.945 0.194
0.500 0.194 0.055
0.500 0.500 0.000
0.500 0.000 0.500
0.500 0.306 0.555
0.500 0.445 0.306
0.500 0.806 0.945
0.500 0.694 0.445
0.000 0.822 0.678
0.000 0.178 0.322
0.000 0.678 0.178
0.000 0.322 0.822
0.000 0.500 0.500
0.000 0.000 0.000
```

space-group type	P4/mbm (127)
energy of formation	-1.61	eV per formula unit
mass density	9.16	g cm⁻³
final energy	-4.9331	eV/atom

---

(12)
Density functional theory data (PBE) for a relaxed CdTePbW2 crystal.

Cell and atoms, written as POSCAR:
```
CdTePbW2
1.0
4.972 0.000 0.000
0.000 5.848 0.000
0.000 0.000 4.972
W Pb Cd Te
2 1 1 1
direct
0.000 0.000 0.500
0.500 0.000 0.000
0.000 0.500 0.000
0.500 0.500 0.500
0.000 0.000 0.000
```

space-group type	P4/mmm (123)
mass density	9.36	g cm⁻³
final energy	-4.7032	eV/atom

---

Among the records above, which one has the lowest final energy? V6GeW